# 1
PBE NdAg3Se3, optimized geometry; calculated density = 6.690 g/cm3; uncorrected formation energy = -723 meV/atom; calculated volume = 174.9 Å³/f.u.; space group = R-3
1.0
3.796 2.191 7.009
-3.796 2.191 7.009
0.000 -4.383 7.009
Nd Ag Se
2 6 6
direct
0.167 0.167 0.167 Nd
0.833 0.833 0.833 Nd
0.025 0.378 0.721 Ag
0.279 0.975 0.622 Ag
0.378 0.721 0.025 Ag
0.622 0.279 0.975 Ag
0.721 0.025 0.378 Ag
0.975 0.622 0.279 Ag
0.095 0.755 0.425 Se
0.245 0.575 0.905 Se
0.425 0.095 0.755 Se
0.575 0.905 0.245 Se
0.755 0.425 0.095 Se
0.905 0.245 0.575 Se


# 2
PBE TlZnSCl2, optimized geometry; calculated density = 5.032 g/cm3; uncorrected formation energy = -524 meV/atom; calculated volume = 123.0 Å³/f.u.; space group = P4/mmm
1.0
5.080 0.000 0.000
0.000 5.080 0.000
0.000 0.000 4.766
Tl Zn S Cl
1 1 1 2
direct
0.000 0.000 0.000 Tl
0.500 0.500 0.500 Zn
0.500 0.500 0.000 S
0.000 0.500 0.500 Cl
0.500 0.000 0.500 Cl


# 3
PBE Ti2CdMoC, optimized geometry; calculated density = 6.942 g/cm3; energy of formation = -0.246 eV per atom; calculated volume = 75.6 Å³/f.u.; space group = P4/mmm
1.0
4.278 0.000 0.000
0.000 4.278 0.000
0.000 0.000 4.132
Ti Cd Mo C
2 1 1 1
direct
0.000 0.500 0.000 Ti
0.500 0.000 0.000 Ti
0.000 0.000 0.500 Cd
0.500 0.500 0.500 Mo
0.500 0.500 0.000 C


# 4
PBE KAgH6Ir, optimized geometry; calculated density = 5.124 g/cm3; calculated volume = 111.9 Å³/f.u.; total DFT energy (no corrections) = -3.719 eV per atom; space group = P1
1.0
4.751 0.000 0.000
-0.002 5.088 0.000
-2.371 -0.002 4.628
K Ag H Ir
1 1 6 1
direct
0.000 0.000 0.000 K
0.332 0.500 0.666 Ag
0.510 0.260 0.020 H
0.512 0.740 0.021 H
0.541 0.711 0.464 H
0.548 0.289 0.469 H
0.918 0.712 0.475 H
0.920 0.288 0.470 H
0.640 0.500 0.278 Ir


# 5
PBE Hf6Al2Co, optimized geometry; calculated density = 11.177 g/cm3; energy of formation = -0.340 eV per atom; calculated volume = 175.9 Å³/f.u.; space group = P-62m
1.0
7.861 0.000 0.000
-3.930 6.808 0.000
0.000 0.000 3.286
Hf Al Co
6 2 1
direct
0.000 0.251 0.000 Hf
0.000 0.602 0.500 Hf
0.251 0.000 0.000 Hf
0.398 0.398 0.500 Hf
0.602 0.000 0.500 Hf
0.749 0.749 0.000 Hf
0.333 0.667 0.000 Al
0.667 0.333 0.000 Al
0.000 0.000 0.500 Co


# 6
PBE CrInPd2, optimized geometry; calculated density = 9.096 g/cm3; energy of formation = 0.410 eV per atom; calculated volume = 69.3 Å³/f.u.; space group = I-42d
1.0
-1.962 1.962 9.001
1.962 -1.962 9.001
1.962 1.962 -9.001
Cr In Pd
2 2 4
direct
0.000 0.000 0.000 Cr
0.750 0.250 0.500 Cr
0.250 0.750 0.500 In
0.500 0.500 0.000 In
0.110 0.625 0.985 Pd
0.375 0.360 0.485 Pd
0.640 0.125 0.015 Pd
0.875 0.890 0.515 Pd


# 7
PBE Tb2TlHg5, optimized geometry; calculated density = 12.681 g/cm3; energy of formation = -0.302 eV per atom; calculated volume = 199.7 Å³/f.u.; space group = Pbam
1.0
6.712 0.000 0.000
0.000 13.493 0.000
0.000 0.000 4.411
Tb Tl Hg
4 2 10
direct
0.244 0.126 0.000 Tb
0.256 0.626 0.000 Tb
0.744 0.374 0.000 Tb
0.756 0.874 0.000 Tb
0.000 0.500 0.500 Tl
0.500 0.000 0.500 Tl
0.000 0.000 0.500 Hg
0.004 0.750 0.500 Hg
0.247 0.872 0.000 Hg
0.253 0.372 0.000 Hg
0.496 0.250 0.500 Hg
0.500 0.500 0.500 Hg
0.504 0.750 0.500 Hg
0.747 0.628 0.000 Hg
0.753 0.128 0.000 Hg
0.996 0.250 0.500 Hg


# 8
PBE Dy4CdCuHg2, optimized geometry; calculated density = 10.296 g/cm3; energy of formation = -0.372 eV per atom; calculated volume = 197.9 Å³/f.u.; space group = R-3m
1.0
2.601 1.502 8.445
-2.601 1.502 8.445
0.000 -3.003 8.445
Dy Cd Cu Hg
4 1 1 2
direct
0.119 0.119 0.119 Dy
0.370 0.370 0.370 Dy
0.630 0.630 0.630 Dy
0.881 0.881 0.881 Dy
0.500 0.500 0.500 Cd
0.000 0.000 0.000 Cu
0.245 0.245 0.245 Hg
0.755 0.755 0.755 Hg


# 9
PBE LaFe2Br, optimized geometry; calculated density = 6.254 g/cm3; uncorrected formation energy = 312 meV/atom; calculated volume = 87.8 Å³/f.u.; space group = I4/mmm
1.0
-2.025 2.025 5.352
2.025 -2.025 5.352
2.025 2.025 -5.352
La Fe Br
1 2 1
direct
0.000 0.000 0.000 La
0.250 0.750 0.500 Fe
0.750 0.250 0.500 Fe
0.500 0.500 0.000 Br


# 10
PBE Cs3Na7Hg4, optimized geometry; calculated density = 4.006 g/cm3; energy of formation = -0.147 eV per atom; calculated volume = 564.6 Å³/f.u.; space group = C2/m
1.0
10.196 -2.658 0.000
10.196 2.658 0.000
-7.510 0.000 10.415
Cs Na Hg
3 7 4
direct
0.000 0.000 0.000 Cs
0.306 0.306 0.296 Cs
0.694 0.694 0.704 Cs
0.000 0.000 0.500 Na
0.165 0.165 0.426 Na
0.318 0.318 0.988 Na
0.490 0.490 0.710 Na
0.510 0.510 0.290 Na
0.682 0.682 0.012 Na
0.835 0.835 0.574 Na
0.109 0.109 0.817 Hg
0.339 0.339 0.734 Hg
0.661 0.661 0.266 Hg
0.891 0.891 0.183 Hg


# 11
PBE MnCr2Ir, optimized geometry; calculated density = 11.453 g/cm3; energy of formation = 0.143 eV per atom; calculated volume = 50.9 Å³/f.u.; space group = Cmm2
1.0
1.444 -2.168 0.000
1.444 2.168 0.000
0.000 0.000 8.130
Mn Cr Ir
1 2 1
direct
0.000 0.000 0.000 Mn
0.000 0.000 0.532 Cr
0.500 0.500 0.762 Cr
0.500 0.500 0.268 Ir


# 12
PBE Pm2YTe, optimized geometry; calculated density = 6.726 g/cm3; uncorrected formation energy = -577 meV/atom; calculated volume = 125.0 Å³/f.u.; space group = P4/mmm
1.0
3.978 0.000 0.000
0.000 3.978 0.000
0.000 0.000 7.900
Pm Y Te
2 1 1
direct
0.000 0.000 0.224 Pm
0.000 0.000 0.776 Pm
0.500 0.500 0.500 Y
0.500 0.500 0.000 Te


Look up the calculated volume of the fifth one. 175.9 Å³/f.u.


Which of these has the highest calculated density? Tb2TlHg5


Which of these has the highest calculated volume? Cs3Na7Hg4


Please write out number 3 again, unchanged.
PBE Ti2CdMoC, optimized geometry; calculated density = 6.942 g/cm3; energy of formation = -0.246 eV per atom; calculated volume = 75.6 Å³/f.u.; space group = P4/mmm
1.0
4.278 0.000 0.000
0.000 4.278 0.000
0.000 0.000 4.132
Ti Cd Mo C
2 1 1 1
direct
0.000 0.500 0.000 Ti
0.500 0.000 0.000 Ti
0.000 0.000 0.500 Cd
0.500 0.500 0.500 Mo
0.500 0.500 0.000 C